Record 1
Density functional theory data (PBE) for crystalline Zn3Os at its relaxed geometry.

Unit cell a=3.2388 b=3.2388 c=5.4825 alpha=90.00 beta=90.00 gamma=90.00
With the nearest neighbours (Å) after each atom.
Fractional positions:
Os 0.0000 0.0000 0.0000  10 Zn 2.64-2.74
Zn 0.0000 0.0000 0.5000  8 Zn 2.70, 2 Os 2.74
Zn 0.5000 0.5000 0.2394  6 Zn 2.62-2.86, 4 Os 2.64
Zn 0.5000 0.5000 0.7607  6 Zn 2.62-2.86, 4 Os 2.64

Formation energy from the elements = 0.21 eV per atom
Space group = No. 123
Density of states at the Fermi level = 0.7230 states/eV per atom
E_tot = -3.55 eV/atom
Total magnetization = 0.00 μB/f.u.

Record 2
Density functional theory data (PBE) for crystalline FeSb2Os at its relaxed geometry.

Unit cell a=3.2234 b=3.2234 c=7.3192 alpha=63.83 beta=90.00 gamma=90.00
With the nearest neighbours (Å) after each atom.
Fractional positions:
Fe 0.5000 0.2500 0.2500  8 Sb 2.77
Os 0.5000 0.7500 0.7500  8 Sb 2.85
Sb 0.0000 0.9904 0.0096  4 Fe 2.77, 4 Os 2.85
Sb 0.0000 0.5096 0.4904  4 Fe 2.77, 4 Os 2.85

Space group = No. 123
Density of states at the Fermi level = 0.7379 states/eV per atom
Energy above the most stable polymorph in this dataset = 198 meV/atom
E_tot = -6.50 eV/atom
Total magnetization = 1.56 μB/f.u.

Record 3
Density functional theory data (PBE) for crystalline Pm2Nd2Ho2Er at its relaxed geometry.

Unit cell a=5.7188 b=5.7188 c=8.8764 alpha=71.21 beta=71.21 gamma=60.00
With the nearest neighbours (Å) after each atom.
Fractional positions:
Pm 0.7141 0.7141 0.8578  3 Er 3.50, 4 Ho 3.51-3.53, 1 Nd 3.64
Pm 0.2859 0.2859 0.1422  3 Er 3.50, 4 Ho 3.51-3.53, 1 Nd 3.64
Nd 0.1387 0.1387 0.5840  1 Er 3.43, 3 Ho 3.47, 3 Nd 3.58, 1 Pm 3.64
Nd 0.8613 0.8613 0.4160  1 Er 3.43, 3 Ho 3.47, 3 Nd 3.58, 1 Pm 3.64
Ho 0.5712 0.5712 0.2864  3 Nd 3.47, 4 Pm 3.51-3.53, 1 Ho 3.52
Ho 0.4288 0.4288 0.7136  3 Nd 3.47, 4 Pm 3.51-3.53, 1 Ho 3.52
Er 0.0000 0.0000 0.0000  2 Nd 3.43, 6 Pm 3.50

Formation energy from the elements = 0.13 eV per atom
Space group = No. 166
Density of states at the Fermi level = 2.1941 states/eV per atom
E_tot = -4.55 eV/atom
Total magnetization = 0.00 μB/f.u.

Record 4
Density functional theory data (PBE) for crystalline Th2CdIn8 at its relaxed geometry.

Unit cell a=4.8372 b=4.8372 c=12.6665 alpha=90.00 beta=90.00 gamma=90.00
With the nearest neighbours (Å) after each atom.
Fractional positions:
Th 0.0000 0.0000 0.3188  12 In 3.33-3.42
Th 0.0000 0.0000 0.6812  12 In 3.33-3.42
Cd 0.0000 0.0000 0.0000  8 In 2.97
In 0.0000 0.5000 0.5000  8 In 3.33-3.42, 4 Th 3.33
In 0.5000 0.0000 0.5000  8 In 3.33-3.42, 4 Th 3.33
In 0.5000 0.5000 0.3194  8 In 3.33-3.35, 4 Th 3.42
In 0.5000 0.5000 0.6806  8 In 3.33-3.35, 4 Th 3.42
In 0.0000 0.5000 0.1361  2 Cd 2.97
In 0.5000 0.0000 0.1361  2 Cd 2.97
In 0.0000 0.5000 0.8639  2 Cd 2.97
In 0.5000 0.0000 0.8639  2 Cd 2.97

Formation energy from the elements = -0.19 eV per atom
Space group = No. 123
Density of states at the Fermi level = 0.6061 states/eV per atom
E_tot = -3.62 eV/atom
Total magnetization = 0.00 μB/f.u.

Record 5
Density functional theory data (PBE) for crystalline BaLa3Mg at its relaxed geometry.

Unit cell a=5.9576 b=5.9576 c=5.9576 alpha=90.00 beta=90.00 gamma=90.00
With the nearest neighbours (Å) after each atom.
Fractional positions:
Mg 0.5000 0.5000 0.5000  12 La 4.21
Ba 0.0000 0.0000 0.0000  6 La 2.98
La 0.0000 0.5000 0.0000  2 Ba 2.98
La 0.0000 0.0000 0.5000  2 Ba 2.98
La 0.5000 0.0000 0.0000  2 Ba 2.98

Formation energy from the elements = 0.78 eV per atom
Space group = No. 221
Density of states at the Fermi level = 1.8282 states/eV per atom
Energy above the most stable polymorph in this dataset = 391 meV/atom
E_tot = -2.88 eV/atom
Total magnetization = 0.00 μB/f.u.

Record 6
Density functional theory data (PBE) for crystalline Nd2CdGe2 at its relaxed geometry.

Unit cell a=7.5266 b=7.5266 c=4.3427 alpha=90.00 beta=90.00 gamma=90.00
With the nearest neighbours (Å) after each atom.
Fractional positions:
Nd 0.6795 0.1795 0.5000  6 Ge 3.05-3.16
Nd 0.3205 0.8205 0.5000  6 Ge 3.05-3.16
Nd 0.1795 0.3205 0.5000  6 Ge 3.05-3.16
Nd 0.8205 0.6795 0.5000  6 Ge 3.05-3.16
Cd 0.5000 0.5000 0.0000  4 Ge 3.00
Cd 0.0000 0.0000 0.0000  4 Ge 3.00
Ge 0.1197 0.6197 0.0000  1 Ge 2.55
Ge 0.8803 0.3803 0.0000  1 Ge 2.55
Ge 0.6197 0.8803 0.0000  1 Ge 2.55
Ge 0.3803 0.1197 0.0000  1 Ge 2.55

Formation energy from the elements = -0.73 eV per atom
Space group = No. 127
Density of states at the Fermi level = 0.2910 states/eV per atom
E_tot = -4.67 eV/atom
Total magnetization = 0.00 μB/f.u.

Record 7
Density functional theory data (PBE) for crystalline GdPuMgAg at its relaxed geometry.

Unit cell a=5.2999 b=5.2999 c=5.2999 alpha=60.00 beta=60.00 gamma=60.00
With the nearest neighbours (Å) after each atom.
Fractional positions:
Mg 0.7500 0.7500 0.7500  4 Pu 3.25, 4 Gd 3.25
Gd 0.5000 0.5000 0.5000  4 Ag 3.25, 4 Mg 3.25
Ag 0.2500 0.2500 0.2500  4 Pu 3.25, 4 Gd 3.25
Pu 0.0000 0.0000 0.0000  4 Mg 3.25, 4 Ag 3.25

Formation energy from the elements = 0.07 eV per atom
Space group = No. 216
Density of states at the Fermi level = 3.1253 states/eV per atom
E_tot = -8.14 eV/atom
Total magnetization = 1.14 μB/f.u.

Record 8
Density functional theory data (PBE) for crystalline Ba12Cu3H5 at its relaxed geometry.

Unit cell a=15.5421 b=15.5421 c=15.5421 alpha=109.47 beta=109.47 gamma=109.47
With the nearest neighbours (Å) after each atom.
Fractional positions:
Cu 0.7500 0.3750 0.1250  8 Ba 3.47-3.53
Cu 0.8750 0.7500 0.1250  8 Ba 3.47-3.53
Cu 0.3750 0.7500 0.6250  8 Ba 3.47-3.53
Cu 0.2500 0.1250 0.3750  8 Ba 3.47-3.53
Cu 0.8750 0.1250 0.2500  8 Ba 3.47-3.53
Cu 0.3750 0.6250 0.2500  8 Ba 3.47-3.53
Cu 0.6250 0.3750 0.7500  8 Ba 3.47-3.53
Cu 0.1250 0.8750 0.7500  8 Ba 3.47-3.53
Cu 0.7500 0.8750 0.6250  8 Ba 3.47-3.53
Cu 0.6250 0.2500 0.3750  8 Ba 3.47-3.53
Cu 0.1250 0.2500 0.8750  8 Ba 3.47-3.53
Cu 0.2500 0.6250 0.8750  8 Ba 3.47-3.53
H 0.1250 0.3750 0.2500  4 Ba 2.60
H 0.0000 0.5000 0.0000  6 Ba 3.02
H 0.0000 0.0000 0.0000  6 Ba 3.02
H 0.3750 0.2500 0.1250  4 Ba 2.60
H 0.5000 0.0000 0.5000  6 Ba 3.02
H 0.5000 0.5000 0.0000  6 Ba 3.02
H 0.1250 0.7500 0.3750  4 Ba 2.60
H 0.7500 0.1250 0.8750  4 Ba 2.60
H 0.7500 0.6250 0.3750  4 Ba 2.60
H 0.3750 0.1250 0.7500  4 Ba 2.60
H 0.6250 0.8750 0.2500  4 Ba 2.60
H 0.5000 0.5000 0.5000  6 Ba 3.02
H 0.5000 0.0000 0.0000  6 Ba 3.02
H 0.0000 0.0000 0.5000  6 Ba 3.02
H 0.2500 0.3750 0.6250  4 Ba 2.60
H 0.2500 0.8750 0.1250  4 Ba 2.60
H 0.0000 0.5000 0.5000  6 Ba 3.02
H 0.8750 0.2500 0.6250  4 Ba 2.60
H 0.6250 0.7500 0.8750  4 Ba 2.60
H 0.8750 0.6250 0.7500  4 Ba 2.60
Ba 0.7130 0.1220 0.0257  1 H 2.60
Ba 0.3126 0.5257 0.4037  1 H 2.60
Ba 0.9743 0.3780 0.2870  1 H 2.60
Ba 0.5257 0.2130 0.1220  1 H 2.60
Ba 0.5911 0.7130 0.6874  1 H 2.60
Ba 0.9743 0.5963 0.1874  1 H 2.60
Ba 0.3126 0.7870 0.4089  1 H 2.60
Ba 0.0963 0.9089 0.1220  1 H 2.60
Ba 0.5963 0.9743 0.6874  1 H 2.60
Ba 0.7130 0.5911 0.1874  1 H 2.60
Ba 0.7870 0.4743 0.3780  1 H 2.60
Ba 0.8126 0.9037 0.0257  1 H 2.60
Ba 0.1220 0.7130 0.5257  1 H 2.60
Ba 0.3780 0.4037 0.0911  1 H 2.60
Ba 0.0911 0.9037 0.3780  1 H 2.60
Ba 0.4089 0.1220 0.5963  1 H 2.60
Ba 0.0911 0.1874 0.2130  1 H 2.60
Ba 0.4743 0.6874 0.0963  1 H 2.60
Ba 0.8126 0.9089 0.2870  1 H 2.60
Ba 0.1220 0.4089 0.0963  1 H 2.60
Ba 0.3780 0.9743 0.7870  1 H 2.60
Ba 0.5963 0.6220 0.4089  1 H 2.60
Ba 0.9037 0.8126 0.5257  1 H 2.60
Ba 0.7870 0.3126 0.9089  1 H 2.60
Ba 0.4037 0.3780 0.5911  1 H 2.60
Ba 0.0963 0.1874 0.4743  1 H 2.60
Ba 0.2130 0.6874 0.0911  1 H 2.60
Ba 0.1874 0.0911 0.7130  1 H 2.60
Ba 0.6220 0.0257 0.2130  1 H 2.60
Ba 0.8780 0.5911 0.9037  1 H 2.60
Ba 0.5257 0.3126 0.9037  1 H 2.60
Ba 0.5911 0.8780 0.4037  1 H 2.60
Ba 0.9089 0.8126 0.7870  1 H 2.60
Ba 0.9089 0.0963 0.6220  1 H 2.60
Ba 0.8780 0.2870 0.4743  1 H 2.60
Ba 0.1874 0.0963 0.9743  1 H 2.60
Ba 0.6220 0.5963 0.9089  1 H 2.60
Ba 0.4037 0.0257 0.3126  1 H 2.60
Ba 0.2870 0.4089 0.8126  1 H 2.60
Ba 0.2130 0.5257 0.6220  1 H 2.60
Ba 0.9037 0.0911 0.8780  1 H 2.60
Ba 0.6874 0.2130 0.5911  1 H 2.60
Ba 0.4743 0.7870 0.8780  1 H 2.60
Ba 0.0257 0.4037 0.8126  1 H 2.60
Ba 0.4089 0.2870 0.3126  1 H 2.60
Ba 0.0257 0.6220 0.7130  1 H 2.60
Ba 0.6874 0.4743 0.5963  1 H 2.60
Ba 0.2870 0.8780 0.9743  1 H 2.60

Space group = No. 230
Density of states at the Fermi level = 1.0555 states/eV per atom
E_tot = -2.73 eV/atom
Total magnetization = 1.44 μB/f.u.

Record 9
Density functional theory data (PBE) for crystalline HgGe3S at its relaxed geometry.

Unit cell a=4.9851 b=4.9851 c=4.9851 alpha=90.00 beta=90.00 gamma=90.00
With the nearest neighbours (Å) after each atom.
Fractional positions:
S 0.0000 0.0000 0.0000  6 Ge 2.49
Ge 0.0000 0.5000 0.0000  2 S 2.49
Ge 0.0000 0.0000 0.5000  2 S 2.49
Ge 0.5000 0.0000 0.0000  2 S 2.49
Hg 0.5000 0.5000 0.5000  12 Ge 3.52

Space group = No. 221
Density of states at the Fermi level = 0.4072 states/eV per atom
Energy above the most stable polymorph in this dataset = 0 meV/atom
E_tot = -3.14 eV/atom
Total magnetization = 0.00 μB/f.u.

Record 10
Density functional theory data (PBE) for crystalline Na3CCl at its relaxed geometry.

Unit cell a=4.9043 b=4.9043 c=4.9043 alpha=90.00 beta=90.00 gamma=90.00
With the nearest neighbours (Å) after each atom.
Fractional positions:
Na 0.0000 0.5000 0.0000  2 C 2.45
Na 0.0000 0.0000 0.5000  2 C 2.45
Na 0.5000 0.0000 0.0000  2 C 2.45
C 0.0000 0.0000 0.0000  6 Na 2.45
Cl 0.5000 0.5000 0.5000  12 Na 3.47

Space group = No. 221
Density of states at the Fermi level = 0.4623 states/eV per atom
Energy above the most stable polymorph in this dataset = 0 meV/atom
E_tot = -2.80 eV/atom
Total magnetization = 2.00 μB/f.u.

Record 11
Density functional theory data (PBE) for crystalline Cs3SbP at its relaxed geometry.

Unit cell a=4.0682 b=10.6827 c=10.8772 alpha=108.73 beta=90.02 gamma=100.68
With the nearest neighbours (Å) after each atom.
Fractional positions:
Cs 0.1011 0.2341 0.3515  3 Cs 3.69-4.07, 1 P 3.82, 4 Sb 3.92-4.02
Cs 0.4231 0.8940 0.7262  3 P 3.61-3.62, 1 Sb 3.88, 1 Cs 3.97
Cs 0.6206 0.2601 0.6954  3 P 3.61-3.62, 1 Sb 3.88, 1 Cs 3.97
Cs 0.9430 0.9201 0.0702  3 Cs 3.69-4.07, 1 P 3.82, 4 Sb 3.92-4.02
Cs 0.2539 0.5445 0.0192  3 P 3.80-3.82, 2 Sb 3.87-3.89, 2 Cs 4.07
Cs 0.7901 0.6096 0.4022  3 P 3.80-3.82, 2 Sb 3.87-3.89, 2 Cs 4.07
Sb 0.4416 0.9146 0.3765  8 Cs 3.87-4.12, 2 Sb 4.07
Sb 0.6027 0.2395 0.0451  8 Cs 3.87-4.12, 2 Sb 4.07
P 0.2514 0.5338 0.6666  2 P 2.30-2.31
P 0.7923 0.6201 0.7549  2 P 2.30-2.31

Space group = No. 2
Density of states at the Fermi level = 0.5743 states/eV per atom
Energy above the most stable polymorph in this dataset = 75 meV/atom
E_tot = -2.69 eV/atom
Total magnetization = 0.00 μB/f.u.

Record 12
Density functional theory data (PBE) for crystalline ScCoSiPd at its relaxed geometry.

Unit cell a=4.3146 b=4.3146 c=4.3146 alpha=60.00 beta=60.00 gamma=60.00
With the nearest neighbours (Å) after each atom.
Fractional positions:
Sc 0.0000 0.0000 0.0000  4 Co 2.64, 4 Pd 2.64
Si 0.5000 0.5000 0.5000  4 Co 2.64, 4 Pd 2.64
Co 0.2500 0.2500 0.2500  4 Sc 2.64, 4 Si 2.64
Pd 0.7500 0.7500 0.7500  4 Si 2.64, 4 Sc 2.64

Space group = No. 216
Density of states at the Fermi level = 0.8449 states/eV per atom
E_tot = -6.61 eV/atom
Total magnetization = 0.01 μB/f.u.